Mg3SnPt: optimized geometry, PBEsol.

- ΔH_f (0 K): 0.570 eV per atom
- Total magnetic moment: 0.000 μB/cell
- Space group: Pm-3m (221)
- Calculated total energy: -2.70 eV per atom

Unit cell a=5.126 b=5.126 c=5.126 alpha=90.00 beta=90.00 gamma=90.00
Positions (direct):
Mg1 0.000 0.000 0.500
Mg2 0.500 0.000 0.000
Sn1 0.000 0.000 0.000
Mg3 0.000 0.500 0.000
Pt1 0.500 0.500 0.500

CsLiY2: optimized geometry, PBEsol.

- ΔH_f (0 K): 0.603 eV per atom
- Total magnetic moment: 0.000 μB/cell
- Space group: Fm-3m (225)
- Calculated total energy: -3.54 eV per atom

Unit cell a=5.535 b=5.535 c=5.535 alpha=60.00 beta=60.00 gamma=60.00
Positions (direct):
Y1 0.750 0.750 0.750
Y2 0.250 0.250 0.250
Li1 0.000 0.000 0.000
Cs1 0.500 0.500 0.500

BaNi2Ir: optimized geometry, PBEsol.

- ΔH_f (0 K): -0.053 eV per atom
- Total magnetic moment: 0.690 μB/cell
- Offset from the most stable computed form: 0.000 eV per atom
- Space group: R-3m (166)
- Calculated total energy: -6.12 eV per atom

Unit cell a=4.179 b=4.181 c=5.881 alpha=110.78 beta=90.00 gamma=119.99
Site moments in Bohr magnetons follow the coordinates.
Positions (direct):
Ba1 0.000 0.000 0.500  -0.02
Ni1 0.818 0.635 0.953  0.23
Ir1 0.500 0.000 0.000  0.28
Ni2 0.182 0.365 0.047  0.23

What did the first record say?
Mg3SnPt: optimized geometry, PBEsol.

- ΔH_f (0 K): 0.570 eV per atom
- Total magnetic moment: 0.000 μB/cell
- Space group: Pm-3m (221)
- Calculated total energy: -2.70 eV per atom

Unit cell a=5.126 b=5.126 c=5.126 alpha=90.00 beta=90.00 gamma=90.00
Positions (direct):
Mg1 0.000 0.000 0.500
Mg2 0.500 0.000 0.000
Sn1 0.000 0.000 0.000
Mg3 0.000 0.500 0.000
Pt1 0.500 0.500 0.500

- The highest ΔH_f (0 K) belongs to which entry?
  CsLiY2